Record 1
Below is crystalline TbPm2Zr at its relaxed geometry, with properties calculated at the PBE level.

Properties
**Total DFT energy (no corrections)**: -22.196 eV for the cell shown
**E above lowest polymorph**: 6 meV per atom

a = 4.9534 Å, b = 4.9534 Å, c = 4.9095 Å
α = 90.00°, β = 90.00°, γ = 90.00°
Space group P4/mmm (No. 123)
Symmetry-distinct sites (fractional):
Tb1 0.0000 0.0000 0.0000 (multiplicity 1)
Pm1 0.0000 0.5000 0.5000 (multiplicity 2)
Zr1 0.5000 0.5000 0.0000 (multiplicity 1)

---

Record 2
Below is crystalline TbPmZr at its relaxed geometry, with properties calculated at the PBE level.

Properties
**Total DFT energy (no corrections)**: -17.471 eV for the cell shown
**E above lowest polymorph**: 53 meV per atom

a = 5.4297 Å, b = 5.4297 Å, c = 3.3993 Å
α = 90.00°, β = 90.00°, γ = 120.00°
Space group P-6m2 (No. 187)
Symmetry-distinct sites (fractional):
Tb1 0.0000 0.0000 0.0000 (multiplicity 1)
Pm1 0.3333 0.6667 0.5000 (multiplicity 1)
Zr1 0.6667 0.3333 0.5000 (multiplicity 1)

---

Record 3
Below is crystalline Tb8Pm2Zr at its relaxed geometry, with properties calculated at the PBE level.

Properties
**Total DFT energy (no corrections)**: -109.228 eV for the cell shown

a = 18.0312 Å, b = 4.9899 Å, c = 7.9271 Å
α = 90.00°, β = 105.24°, γ = 90.00°
Space group C2/m (No. 12)
Symmetry-distinct sites (fractional):
Tb1 0.0437 0.0000 0.2365 (multiplicity 4)
Tb2 0.0883 0.5000 0.9424 (multiplicity 4)
Tb3 0.1309 0.0000 0.6722 (multiplicity 4)
Tb4 0.1782 0.5000 0.4095 (multiplicity 4)
Pm1 0.2260 0.0000 0.1351 (multiplicity 4)
Zr1 0.0000 0.5000 0.5000 (multiplicity 2)

---

- The lowest total DFT energy (no corrections) belongs to which entry?
  Tb8Pm2Zr